This record from Alexandria via LeMat-Bulk describes a PBEsol-optimized structure of Ag3MoCl. The functional is meta-GGA SCAN.

Density of states at the Fermi level   0.4104 states/eV per atom
V   22.39 A^3/atom
Total moment   0.987 μB per atom
Uncorrected formation energy   122.22 kJ/mol of atoms

abc: 4.819 4.819 4.819
angles: 90.00 90.00 90.00
Fractional positions:
Ag: 0.000 0.000 0.500
Ag: 0.500 0.000 0.000
Ag: 0.000 0.500 0.000
Cl: 0.000 0.000 0.000
Mo: 0.500 0.500 0.500